(1)
The following is a PBE calculation of Cs2CdSnTe4 after structural relaxation, from the Alexandria database.

Energy = -48.73 eV for the cell shown
Crystal system = orthorhombic

Cell: 7.084 8.582 14.149 Å, 84.07 75.50 65.63°
Element x y z (fractional)
Cs 0.183 0.000 0.633
Cs 0.933 0.500 0.133
Cs 0.567 0.500 0.867
Cs 0.817 0.000 0.367
Te 0.442 0.705 0.388
Te 0.897 0.795 0.888
Te 0.853 0.705 0.612
Te 0.580 0.205 0.112
Te 0.216 0.205 0.888
Te 0.170 0.295 0.388
Te 0.308 0.795 0.112
Te 0.534 0.295 0.612
Sn 0.250 0.500 0.500
Sn 0.500 0.000 0.000
Cd 0.750 0.500 0.500
Cd 0.000 0.000 0.000

(2)
The following is a PBE calculation of Cs2TiCdSn after structural relaxation, from the Alexandria database.

ΔE_f = 0.488 eV per atom
Energy = -12.08 eV for the cell shown
N(E_F) = 0.70 states/eV/atom
Crystal system = tetragonal

Cell: 7.097 5.353 7.097 Å, 90.00 90.00 90.00°
Each line ends with the local moment (μB).
Element x y z (fractional)
Sn 0.000 0.500 0.000  -0.04
Cd 0.500 0.500 0.500  -0.01
Ti 0.000 0.000 0.000  1.49
Cs 0.500 0.000 0.000  0.02
Cs 0.000 0.000 0.500  0.03

(3)
The following is a PBE calculation of CsTl4Cd2Sn after structural relaxation, from the Alexandria database.

ΔE_f = -0.039 eV per atom
Energy = -16.46 eV for the cell shown
N(E_F) = 0.23 states/eV/atom
Crystal system = trigonal

Cell: 5.384 5.384 11.463 Å, 76.42 76.42 60.00°
Element x y z (fractional)
Sn 0.500 0.500 0.500
Cs 0.000 0.000 0.000
Tl 0.407 0.407 0.780
Tl 0.593 0.593 0.220
Tl 0.869 0.869 0.392
Tl 0.131 0.131 0.608
Cd 0.236 0.236 0.293
Cd 0.764 0.764 0.707